{"formula": "Nb2TeO", "functional": "PBE", "state": "relaxed", "lattice": [[-2.520, 2.520, 6.404], [2.520, -2.520, 6.404], [2.520, 2.520, -6.404]], "species": ["Nb", "Nb", "Nb", "Nb", "Te", "Te", "O", "O"], "fractional_positions": [[0.375, 0.231, 0.356], [0.769, 0.125, 0.144], [0.875, 0.019, 0.644], [0.981, 0.625, 0.856], [0.250, 0.750, 0.500], [0.500, 0.500, 0.000], [0.000, 0.000, 0.000], [0.750, 0.250, 0.500]], "total_magnetization_mub_per_fu": 0.00, "spacegroup": "I-42d, No. 122", "mass_density_g_cm3": 6.724, "de_polymorph_ev_per_atom": 0.000, "energy_ev_per_cell": -61.02}